# 1
A plane-wave DFT calculation with SCAN was carried out for a crystal of Ni2SnAsPt relaxed with PBEsol.

Cell lengths 4.546, 4.546, 4.874 Å; angles 90.00, 90.00, 90.00 degrees
Sites, in units of the cell vectors:
Ni  0.000  0.500  0.000
Ni  0.500  0.000  0.000
Sn  0.000  0.000  0.000
As  0.500  0.500  0.500
Pt  0.000  0.000  0.500

Properties
**Symmetry**: P4/mmm (123)
**Uncorrected energy**: -152.9 eV for the cell shown
**D(E_F)**: 0.48 states/eV/atom
**Formation enthalpy at 0 K**: 1.14 eV per atom

# 2
A plane-wave DFT calculation with SCAN was carried out for a crystal of Ti5CoSn3 relaxed with PBEsol.

Cell lengths 8.126, 8.126, 5.380 Å; angles 90.00, 90.00, 120.00 degrees
Sites, in units of the cell vectors:
Ti  0.000  0.247  0.250
Ti  0.000  0.753  0.750
Ti  0.247  0.000  0.250
Ti  0.247  0.247  0.750
Ti  0.333  0.667  0.000
Ti  0.333  0.667  0.500
Ti  0.667  0.333  0.000
Ti  0.667  0.333  0.500
Ti  0.753  0.000  0.750
Ti  0.753  0.753  0.250
Co  0.000  0.000  0.000
Co  0.000  0.000  0.500
Sn  0.000  0.396  0.750
Sn  0.000  0.604  0.250
Sn  0.396  0.000  0.750
Sn  0.396  0.396  0.250
Sn  0.604  0.000  0.250
Sn  0.604  0.604  0.750

Properties
**Symmetry**: P6_3/mcm (193)
**Uncorrected energy**: -418.4 eV for the cell shown
**D(E_F)**: 1.03 states/eV/atom
**Formation enthalpy at 0 K**: -0.44 eV per atom

# 3
A plane-wave DFT calculation with SCAN was carried out for a crystal of Ni2Pt relaxed with PBEsol.

Cell lengths 4.658, 4.658, 4.658 Å; angles 60.00, 60.00, 60.00 degrees
Sites, in units of the cell vectors:
Ni  0.000  0.000  0.000
Ni  0.000  0.000  0.500
Ni  0.000  0.500  0.000
Ni  0.500  0.000  0.000
Pt  0.375  0.375  0.375
Pt  0.625  0.625  0.625

Properties
**Symmetry**: Fd-3m (227)
**Uncorrected energy**: -204.9 eV for the cell shown
**D(E_F)**: 1.37 states/eV/atom
**Formation enthalpy at 0 K**: 0.04 eV per atom

# 4
A plane-wave DFT calculation with SCAN was carried out for a crystal of KZr2Co relaxed with PBEsol.

Cell lengths 3.197, 4.955, 5.165 Å; angles 90.00, 90.00, 90.00 degrees
Sites, in units of the cell vectors:
K  0.000  0.000  0.000
Zr  0.000  0.500  0.500
Zr  0.500  0.500  0.000
Co  0.500  0.000  0.500

Properties
**Symmetry**: Pmmm (47)
**Uncorrected energy**: -82.9 eV for the cell shown
**Offset from the most stable computed form**: 0 meV/atom
**D(E_F)**: 1.02 states/eV/atom
**Formation enthalpy at 0 K**: 1.04 eV per atom

# 5
A plane-wave DFT calculation with SCAN was carried out for a crystal of NbAsSe2N relaxed with PBEsol.

Cell lengths 4.957, 4.957, 5.019 Å; angles 90.00, 90.00, 90.00 degrees
Sites, in units of the cell vectors:
Nb  0.000  0.000  0.000
As  0.000  0.000  0.500
Se  0.000  0.500  0.000
Se  0.500  0.000  0.000
N  0.500  0.500  0.500

Properties
**Formation energy (no corrections)**: 894 meV/atom
**Symmetry**: P4/mmm (123)
**Uncorrected energy**: -98.3 eV for the cell shown
**D(E_F)**: 0.43 states/eV/atom

# 6
A plane-wave DFT calculation with SCAN was carried out for a crystal of Tl3CoTe relaxed with PBEsol.

Cell lengths 6.061, 6.061, 6.061 Å; angles 90.00, 90.00, 90.00 degrees
Sites, in units of the cell vectors:
Tl  0.000  0.000  0.500
Tl  0.000  0.500  0.000
Tl  0.500  0.000  0.000
Co  0.500  0.500  0.500
Te  0.000  0.000  0.000

Properties
**Formation energy (no corrections)**: 941 meV/atom
**Symmetry**: Pm-3m (221)
**Uncorrected energy**: -266.9 eV for the cell shown
**D(E_F)**: 1.52 states/eV/atom